Record 1
DFT (PBE-GGA) results for Sb2PdO after structural relaxation.

Structure (POSCAR):
```
Sb2PdO
1.0
5.184 0.000 0.000
0.000 5.184 0.000
0.000 0.000 12.980
Sb Pd O
8 4 4
Direct
0.189 0.250 0.125
0.250 0.689 0.375
0.250 0.811 0.875
0.311 0.250 0.625
0.689 0.750 0.625
0.750 0.189 0.875
0.750 0.311 0.375
0.811 0.750 0.125
0.000 0.000 0.500
0.000 0.500 0.750
0.500 0.000 0.250
0.500 0.500 0.000
0.000 0.000 0.000
0.000 0.500 0.250
0.500 0.000 0.750
0.500 0.500 0.500
```

Calculated values
SG: I-42d
crystal system: tetragonal
uncorrected formation energy: -32.4 kJ per mole of atoms
DOS(E_F): 0.26 states/eV/atom



Record 2
DFT (PBE-GGA) results for SbPdO2 after structural relaxation.

Structure (POSCAR):
```
SbPdO2
1.0
4.232 0.000 0.000
0.000 4.232 0.000
0.000 0.000 12.985
Sb Pd O
4 4 8
Direct
0.000 0.000 0.000
0.000 0.500 0.250
0.500 0.000 0.750
0.500 0.500 0.500
0.000 0.000 0.500
0.000 0.500 0.750
0.500 0.000 0.250
0.500 0.500 0.000
0.223 0.250 0.125
0.250 0.723 0.375
0.250 0.777 0.875
0.277 0.250 0.625
0.723 0.750 0.625
0.750 0.223 0.875
0.750 0.277 0.375
0.777 0.750 0.125
```

Calculated values
SG: I-42d
crystal system: tetragonal
uncorrected formation energy: -40.8 kJ per mole of atoms
DOS(E_F): 0.19 states/eV/atom



Record 3
DFT (PBE-GGA) results for SbPd2O2 after structural relaxation.

Structure (POSCAR):
```
SbPd2O2
1.0
5.899 0.000 0.000
0.000 5.899 0.000
0.000 0.000 4.314
Sb Pd O
2 4 4
Direct
0.000 0.000 0.000
0.500 0.500 0.000
0.175 0.325 0.500
0.325 0.825 0.500
0.675 0.175 0.500
0.825 0.675 0.500
0.184 0.316 0.000
0.316 0.816 0.000
0.684 0.184 0.000
0.816 0.684 0.000
```

Calculated values
SG: P4/mbm
crystal system: tetragonal
distance to the lowest polymorph of the same formula: 0 meV/atom
uncorrected formation energy: -36.6 kJ per mole of atoms
DOS(E_F): 0.37 states/eV/atom



Record 4
DFT (PBE-GGA) results for SbPdO2 after structural relaxation.

Structure (POSCAR):
```
SbPdO2
1.0
3.465 0.000 0.000
-1.732 3.001 0.000
0.000 0.000 18.592
Sb Pd O
3 3 6
Direct
0.000 0.000 0.000
0.333 0.667 0.667
0.667 0.333 0.333
0.000 0.000 0.500
0.333 0.667 0.167
0.667 0.333 0.833
0.000 0.000 0.391
0.000 0.000 0.609
0.333 0.667 0.057
0.333 0.667 0.276
0.667 0.333 0.724
0.667 0.333 0.943
```

Calculated values
SG: R-3m
crystal system: trigonal
uncorrected formation energy: -51.4 kJ per mole of atoms
DOS(E_F): 0.98 states/eV/atom



Record 5
DFT (PBE-GGA) results for SbPd2O4 after structural relaxation.

Structure (POSCAR):
```
SbPd2O4
1.0
12.522 0.000 0.000
0.000 3.195 0.000
-1.745 0.000 4.428
Sb Pd O
2 4 8
Direct
0.000 0.000 0.000
0.500 0.500 0.000
0.207 0.500 0.657
0.293 0.000 0.343
0.707 0.000 0.657
0.793 0.500 0.343
0.056 0.500 0.294
0.152 0.000 0.947
0.348 0.500 0.053
0.444 0.000 0.706
0.556 0.000 0.294
0.652 0.500 0.947
0.848 0.000 0.053
0.944 0.500 0.706
```

Calculated values
SG: C2/m
crystal system: monoclinic
uncorrected formation energy: -70.1 kJ per mole of atoms
DOS(E_F): 0.56 states/eV/atom



Record 6
DFT (PBE-GGA) results for SbPdO4 after structural relaxation.

Structure (POSCAR):
```
SbPdO4
1.0
5.255 0.000 0.000
0.000 4.695 0.000
0.000 0.000 5.796
Sb Pd O
2 2 8
Direct
0.000 0.000 0.000
0.000 0.500 0.500
0.500 0.000 0.305
0.500 0.500 0.805
0.165 0.235 0.266
0.165 0.265 0.766
0.318 0.731 0.549
0.318 0.769 0.049
0.682 0.231 0.049
0.682 0.269 0.549
0.835 0.735 0.766
0.835 0.765 0.266
```

Calculated values
SG: Pnc2
crystal system: orthorhombic
uncorrected formation energy: -85.1 kJ per mole of atoms
DOS(E_F): 0.38 states/eV/atom